Entry from the Alexandria database: a relaxed structure of K3Tl3Pd (PBE).

Output
E_form: -0.082 eV per atom
space-group type: C2/m

The structure in POSCAR format:
```
K3Tl3Pd
1.0
6.702 0.826 -0.719
-1.811 6.505 -0.719
-0.012 -0.018 11.278
Tl K Pd
6 6 2
Cartesian
-0.232 2.726 2.654
4.297 6.441 0.683
5.111 4.588 7.186
2.606 0.832 2.654
0.582 0.872 9.157
2.273 6.481 7.186
-0.325 5.501 4.920
2.936 4.400 3.041
5.204 1.812 4.920
4.077 2.577 -0.719
1.943 2.913 6.799
0.814 4.754 -0.719
4.154 6.226 9.208
0.725 1.087 0.632
```

Entry from the Alexandria database: a relaxed structure of LaTbTl2S4 (PBE).

Output
E_tot: -5.3516 eV/atom
space-group type: P2/m

The structure in POSCAR format:
```
LaTbTl2S4
1.0
4.167 0.000 0.000
0.000 7.223 0.127
0.000 -2.530 7.435
Tl La Tb S
2 1 1 4
Cartesian
0.000 2.346 3.781
2.083 -1.265 3.718
2.083 3.611 0.063
0.000 0.000 0.000
0.000 -0.174 5.958
2.083 1.109 1.514
0.000 4.867 1.605
2.083 3.584 6.048
```

Entry from the Alexandria database: a relaxed structure of TaCoHIr2 (PBE).

Output
ΔE to the lowest computed polymorph: 0.68 eV/f.u.
space-group type: P4/mmm

The structure in POSCAR format:
```
TaCoHIr2
1.0
3.876 0.000 0.000
0.000 3.876 0.000
0.000 0.000 3.990
Ir H Ta Co
2 1 1 1
Cartesian
1.938 0.000 0.000
0.000 1.938 0.000
0.000 0.000 0.000
0.000 0.000 1.995
1.938 1.938 1.995
```

Entry from the Alexandria database: a relaxed structure of LaThAuC (PBE).

Output
E_form: -0.415 eV per atom
space-group type: Cm

The structure in POSCAR format:
```
LaThAuC
1.0
3.793 0.007 -0.001
-1.889 3.277 0.000
-1.900 -1.097 7.630
Au C La Th
1 1 1 1
Cartesian
2.253 0.857 2.731
-1.536 0.850 6.753
0.356 -0.239 5.109
-1.530 3.038 0.434
```

Entry from the Alexandria database: a relaxed structure of ErTm2Pd9 (PBE).

Output
E_form: -0.903 eV per atom
space-group type: P4/mmm

The structure in POSCAR format:
```
ErTm2Pd9
1.0
-3.461 2.191 0.104
-0.939 -1.655 3.629
5.947 9.126 5.699
Tm Pd Er
2 9 1
Cartesian
3.961 6.079 3.796
1.986 3.047 1.903
-2.200 0.268 1.866
-0.216 3.312 3.767
-0.735 2.623 1.006
1.764 6.350 5.665
1.243 5.658 2.901
3.221 8.694 4.797
0.526 0.700 2.769
4.482 6.771 6.560
2.504 3.736 4.664
0.000 0.000 0.000
```

Entry from the Alexandria database: a relaxed structure of AgIrOs2 (PBE).

Output
E_form: 0.950 eV per atom
ΔE to the lowest computed polymorph: 2.70 eV/f.u.
space-group type: Fm-3m

The structure in POSCAR format:
```
AgIrOs2
1.0
0.000 3.126 3.126
3.126 0.000 3.126
3.126 3.126 0.000
Ag Os Ir
1 2 1
Cartesian
0.000 0.000 0.000
1.563 1.563 1.563
4.689 4.689 4.689
3.126 3.126 3.126
```

Entry from the Alexandria database: a relaxed structure of TbHo2Sb (PBE).

Output
ΔE to the lowest computed polymorph: 0.35 eV/f.u.
space-group type: P4/mmm

The structure in POSCAR format:
```
TbHo2Sb
1.0
3.995 0.000 0.000
0.000 3.995 0.000
0.000 0.000 7.153
Ho Sb Tb
2 1 1
Cartesian
0.000 0.000 5.549
0.000 0.000 1.604
1.998 1.998 0.000
1.998 1.998 3.576
```

Entry from the Alexandria database: a relaxed structure of MnFe5Co6 (PBE).

Output
E_form: -0.058 eV per atom
space-group type: Immm

The structure in POSCAR format:
```
MnFe5Co6
1.0
3.848 0.003 -1.184
-0.628 5.317 -2.026
0.037 -0.424 6.963
Co Mn Fe
6 1 5
Cartesian
2.862 2.807 2.464
0.083 4.729 0.283
3.174 0.167 3.470
1.765 1.349 -1.106
0.395 2.090 1.289
1.455 3.971 -2.105
0.000 0.000 0.000
0.786 4.153 2.567
-0.314 2.659 -1.013
1.097 1.490 3.570
2.160 3.407 0.183
2.471 0.744 1.186
```

Entry from the Alexandria database: a relaxed structure of YAlSe3 (PBE).

Output
ΔE to the lowest computed polymorph: 0.46 eV/f.u.
space-group type: C2/m

The structure in POSCAR format:
```
YAlSe3
1.0
-5.042 -19.419 0.639
-4.010 -7.177 -3.092
5.773 6.601 -0.498
Se Y Al
6 2 2
Cartesian
-4.001 -11.959 -2.320
-5.709 -21.861 -1.570
-2.470 -8.407 -2.138
0.722 -8.036 -0.630
-0.809 -11.588 -0.812
2.430 1.866 -1.380
3.883 -0.404 -0.302
-7.162 -19.591 -2.648
-4.381 -9.597 -2.886
1.102 -10.398 -0.064
```

Entry from the Alexandria database: a relaxed structure of La8Cu2Tc (PBE).

Output
E_form: -0.025 eV per atom
ΔE to the lowest computed polymorph: 0.00 eV/f.u.
space-group type: C2/m

The structure in POSCAR format:
```
La8Cu2Tc
1.0
4.934 0.000 0.000
0.000 7.265 1.169
-2.467 -1.734 8.929
La Cu Tc
8 2 1
Cartesian
0.000 5.570 1.073
0.000 -1.118 6.272
2.467 3.809 5.894
2.467 -0.039 9.025
0.000 2.361 7.879
2.467 3.170 2.219
0.000 1.722 4.204
2.467 6.649 3.827
2.467 0.852 5.904
0.000 4.680 4.194
2.467 0.000 0.000
```

Entry from the Alexandria database: a relaxed structure of La3BS (PBE).

Output
ΔE to the lowest computed polymorph: 0.00 eV/f.u.
space-group type: Pm-3m

The structure in POSCAR format:
```
La3BS
1.0
5.203 0.000 0.000
0.000 5.203 0.000
0.000 0.000 5.203
La B S
3 1 1
Cartesian
2.602 0.000 0.000
0.000 2.602 0.000
0.000 0.000 2.602
0.000 0.000 0.000
2.602 2.602 2.602
```

Entry from the Alexandria database: a relaxed structure of ReHgSN2 (PBE).

Output
ΔE to the lowest computed polymorph: 0.00 eV/f.u.
space-group type: P4/mmm

The structure in POSCAR format:
```
ReHgSN2
1.0
3.855 0.000 0.000
0.000 3.855 0.000
0.000 0.000 5.323
S N Re Hg
1 2 1 1
Cartesian
0.000 0.000 2.661
1.928 0.000 0.000
0.000 1.928 0.000
0.000 0.000 0.000
1.928 1.928 2.661
```